LiAl2Cl: relaxed, PBE.

a = 4.863 Å, b = 4.863 Å, c = 4.863 Å
α = 60.00°, β = 60.00°, γ = 60.00°
Sites, in units of the cell vectors:
Li1 0.000 0.000 0.000
Al1 0.250 0.250 0.250
Al2 0.500 0.500 0.500
Cl1 0.750 0.750 0.750

Output
Volume in Å³/atom: 20.32
Symmetry: F-43m, No. 216
Formation energy without anion corrections in eV per atom: 0.0630
Crystal system: cubic